Computed, not measured: crystalline CsLi2Br at its relaxed geometry at the GGA-PBE level of DFT.

For the total energy, the calculation gives -1.735 eV/atom.

The space group is Fm-3m (No. 225) and the conventional cell measures 8.4372, 8.4372 and 8.4372 Å, with angles of 90.00, 90.00 and 90.00 degrees. The asymmetric unit holds Cs at (0.0000, 0.0000, 0.0000), Li at (0.2500, 0.2500, 0.2500) and Br at (0.0000, 0.0000, 0.5000).

Computed, not measured: crystalline Cs2LiBr7 at its relaxed geometry at the GGA-PBE level of DFT.

For the total energy, the calculation gives -2.413 eV/atom.

The space group is I4/mmm (No. 139) and the conventional cell measures 8.0661, 8.0661 and 11.1766 Å, with angles of 90.00, 90.00 and 90.00 degrees. The asymmetric unit holds Cs at (0.0000, 0.5000, 0.2500), Li at (0.0000, 0.0000, 0.0000), Br at (0.0000, 0.0000, 0.2725), Br at (0.0000, 0.0000, 0.5000) and Br at (0.2258, 0.2258, 0.0000).

Computed, not measured: crystalline Cs2LiBr2 at its relaxed geometry at the GGA-PBE level of DFT.

For the total energy, the calculation gives -2.479 eV/atom.

The space group is P4/mbm (No. 127) and the conventional cell measures 10.3619, 10.3619 and 4.2528 Å, with angles of 90.00, 90.00 and 90.00 degrees. The asymmetric unit holds Cs at (0.1446, 0.3554, 0.0000), Li at (0.0000, 0.0000, 0.0000) and Br at (0.1518, 0.6518, 0.5000).